BaCrSb2 | PBE | optimized geometry

As for the final energy: -20.47 eV per formula unit. The calculation puts the formation energy without anion corrections at -0.169 eV per atom.

Cell lengths 4.328, 3.781, 7.460 Å; angles 77.67, 90.00, 90.00 degrees
Site moments in Bohr magnetons follow the coordinates.
Positions (direct):
Cr  0.500  0.750  0.750  3.50
Sb  0.000  0.925  0.945  -0.11
Ba  0.500  0.250  0.250  -0.02
Sb  0.000  0.575  0.555  -0.11

---

ScPtO3 | PBE | optimized geometry

As for the final energy: -31.52 eV per formula unit. The calculation puts the formation energy without anion corrections at -0.854 eV per atom.

Cell lengths 4.017, 4.017, 4.017 Å; angles 90.00, 90.00, 90.00 degrees
Site moments in Bohr magnetons follow the coordinates.
Positions (direct):
Pt  0.500  0.500  0.500  1.31
Sc  0.000  0.000  0.000  -0.07
O  0.000  0.000  0.500  0.47
O  0.500  0.000  0.000  0.44
O  0.000  0.500  0.000  0.61